# 1
KAsPd | PBE | optimized geometry

a b c (Å): 3.4985 3.4985 6.3926
angles (deg): 105.88 105.88 90.00
Closest atoms and distances in Å follow each position.
Sites, in units of the cell vectors:
As  0.7172  0.7172  0.4344  4 Pd 2.58
Pd  0.2805  0.2805  0.5610  4 As 2.58
K  0.0023  0.0023  0.0046  5 Pd 3.28-3.60, 5 As 3.36-3.54, 4 K 3.50

Summary:
total DFT energy (no corrections)	-4.012	eV/atom
formation enthalpy at 0 K	-0.365	eV/atom

# 2
Tb2GdH | PBE | optimized geometry

a b c (Å): 3.6129 3.6129 8.7892
angles (deg): 78.14 78.14 60.00
Closest atoms and distances in Å follow each position.
Sites, in units of the cell vectors:
Tb  0.2795  0.2795  0.1616  3 H 2.50
Tb  0.7205  0.7205  0.8384  3 H 2.50
H  0.0000  0.0000  0.0000  6 Tb 2.50
Gd  0.5000  0.5000  0.5000  6 Tb 3.56, 6 Gd 3.61

Summary:
total DFT energy (no corrections)	-6.856	eV/atom

# 3
CuTcCl2 | PBE | optimized geometry

a b c (Å): 3.1881 3.1881 7.8896
angles (deg): 90.00 90.00 124.30
Closest atoms and distances in Å follow each position.
Sites, in units of the cell vectors:
Tc  0.5000  0.5000  0.7500  4 Cl 2.44
Cu  0.5000  0.5000  0.2500  4 Cl 2.50
Cl  0.0000  0.0000  0.9951  2 Tc 2.44, 2 Cu 2.50
Cl  0.0000  0.0000  0.5049  2 Tc 2.44, 2 Cu 2.50

Summary:
total DFT energy (no corrections)	-4.164	eV/atom

# 4
HfMgIn2Rh | PBE | optimized geometry

a b c (Å): 5.5918 4.7462 5.5918
angles (deg): 90.00 90.00 90.00
Closest atoms and distances in Å follow each position.
Sites, in units of the cell vectors:
In  0.0000  0.0000  0.5000  2 Hf 2.80
In  0.5000  0.0000  0.0000  2 Hf 2.80
Hf  0.0000  0.0000  0.0000  2 Rh 2.37
Rh  0.0000  0.5000  0.0000  2 Hf 2.37
Mg  0.5000  0.5000  0.5000  8 In 3.67, 4 Rh 3.95

Summary:
total DFT energy (no corrections)	-4.270	eV/atom
formation enthalpy at 0 K	0.605	eV/atom

# 5
CoSiCl | PBE | optimized geometry

a b c (Å): 4.0711 4.0711 3.0287
angles (deg): 90.00 90.00 120.00
Closest atoms and distances in Å follow each position.
Sites, in units of the cell vectors:
Co  0.6667  0.3333  0.2612  3 Cl 2.37, 3 Si 2.54
Si  0.3333  0.6667  0.5753  3 Co 2.54, 3 Cl 2.66
Cl  0.0000  0.0000  0.1635  3 Co 2.37

Summary:
total DFT energy (no corrections)	-4.321	eV/atom

# 6
TbPr2DySb4 | PBE | optimized geometry

a b c (Å): 4.4795 7.7482 7.7550
angles (deg): 70.51 90.00 90.00
Closest atoms and distances in Å follow each position.
Sites, in units of the cell vectors:
Sb  0.0000  0.7398  0.7528  1 Dy 3.12, 2 Tb 3.13, 3 Pr 3.21
Sb  0.5000  0.2607  0.7460  2 Dy 3.12, 1 Tb 3.12, 3 Pr 3.21
Sb  0.0000  0.2602  0.2472  1 Dy 3.12, 2 Tb 3.13, 3 Pr 3.21
Sb  0.5000  0.7393  0.2540  2 Dy 3.12, 1 Tb 3.12, 3 Pr 3.21
Pr  0.0000  0.0000  0.0000  6 Sb 3.21
Pr  0.5000  0.0000  0.5000  6 Sb 3.21
Dy  0.0000  0.5000  0.5000  6 Sb 3.12
Tb  0.5000  0.5000  0.0000  6 Sb 3.12-3.13

Summary:
total DFT energy (no corrections)	-5.573	eV/atom